1.
# V12ReSi6, relaxed, DFT PBE
# Calculated volume ... 13.25 Å³/atom
# ΔE_f (raw) ... -300 meV/atom
# E ... -8.43 eV per atom
data_V12ReSi6
_chemical_formula_sum 'V36 Re3 Si18'
_symmetry_space_group_name_H-M 'R -3'
_symmetry_Int_Tables_number 148
_symmetry_space_group_name_Hall '-R 3'
_cell_length_a 11.6056
_cell_length_b 11.6056
_cell_length_c 6.4765
_cell_angle_alpha 90.00
_cell_angle_beta 90.00
_cell_angle_gamma 120.00
loop_
_atom_site_label
_atom_site_type_symbol
_atom_site_fract_x
_atom_site_fract_y
_atom_site_fract_z
_atom_site_occupancy
V1 V 0.0062 0.1389 0.1619 1
V2 V 0.0570 0.5673 0.1786 1
Re1 Re 0.0000 0.0000 0.5000 1
Si1 Si 0.0235 0.2667 0.8271 1



2.
# LiCrAu, relaxed, DFT PBE
# Calculated volume ... 14.09 Å³/atom
# Energy relative to the elements ... 0.090 eV per atom
# E ... -4.85 eV per atom
data_LiCrAu
_chemical_formula_sum 'Li4 Cr4 Au4'
_symmetry_space_group_name_H-M 'P n m a'
_symmetry_Int_Tables_number 62
_cell_length_a 5.804
_cell_length_b 3.448
_cell_length_c 8.448
_cell_angle_alpha 90.00
_cell_angle_beta 90.00
_cell_angle_gamma 90.00
loop_
_symmetry_equiv_pos_as_xyz
'x,y,z'
'-x,-y,-z'
'-x+1/2,-y,z+1/2'
'x+1/2,y,-z+1/2'
'x+1/2,-y+1/2,-z+1/2'
'-x+1/2,y+1/2,z+1/2'
'-x,y+1/2,-z'
'x,-y+1/2,z'
loop_
_atom_site_label
_atom_site_type_symbol
_atom_site_fract_x
_atom_site_fract_y
_atom_site_fract_z
_atom_site_occupancy
Li1 Li 0.149 0.250 0.235 1
Cr1 Cr 0.090 0.250 0.555 1
Au1 Au 0.121 0.250 0.894 1



3.
# TbSmDyMg, relaxed, DFT PBE
# Calculated volume ... 30.05 Å³/atom
# Energy relative to the elements ... 0.042 eV per atom
# E ... -3.84 eV per atom
data_TbSmDyMg
_chemical_formula_sum 'Tb4 Sm4 Dy4 Mg4'
_symmetry_space_group_name_H-M 'F -4 3 m'
_symmetry_Int_Tables_number 216
_symmetry_space_group_name_Hall 'F -4 2 3'
_cell_length_a 7.834
_cell_length_b 7.834
_cell_length_c 7.834
_cell_angle_alpha 90.00
_cell_angle_beta 90.00
_cell_angle_gamma 90.00
loop_
_atom_site_label
_atom_site_type_symbol
_atom_site_fract_x
_atom_site_fract_y
_atom_site_fract_z
_atom_site_occupancy
Tb1 Tb 0.000 0.000 0.000 1
Sm1 Sm 0.000 0.000 0.500 1
Dy1 Dy 0.250 0.250 0.750 1
Mg1 Mg 0.250 0.250 0.250 1



4.
# PmPrSbTe, relaxed, DFT PBE
# Calculated volume ... 29.62 Å³/atom
# ΔE_f (raw) ... -1103 meV/atom
# E ... -5.30 eV per atom
data_PmPrSbTe
_chemical_formula_sum 'Pm4 Pr4 Sb4 Te4'
_symmetry_space_group_name_H-M 'F -4 3 m'
_symmetry_Int_Tables_number 216
_symmetry_space_group_name_Hall 'F -4 2 3'
_cell_length_a 7.797
_cell_length_b 7.797
_cell_length_c 7.797
_cell_angle_alpha 90.00
_cell_angle_beta 90.00
_cell_angle_gamma 90.00
loop_
_atom_site_label
_atom_site_type_symbol
_atom_site_fract_x
_atom_site_fract_y
_atom_site_fract_z
_atom_site_occupancy
Pm1 Pm 0.000 0.000 0.000 1
Pr1 Pr 0.000 0.000 0.500 1
Sb1 Sb 0.250 0.250 0.250 1
Te1 Te 0.250 0.250 0.750 1



5.
# CaRe2Pt, relaxed, DFT PBE
# Calculated volume ... 18.25 Å³/atom
# Energy relative to the elements ... 0.279 eV per atom
# E ... -7.96 eV per atom
data_CaRe2Pt
_chemical_formula_sum 'Ca2 Re4 Pt2'
_symmetry_space_group_name_H-M 'C 1 m 1'
_symmetry_Int_Tables_number 8
_cell_length_a 9.135
_cell_length_b 2.855
_cell_length_c 5.666
_cell_angle_alpha 90.00
_cell_angle_beta 98.86
_cell_angle_gamma 90.00
loop_
_symmetry_equiv_pos_as_xyz
'x,y,z'
'x,-y,z'
'x+1/2,y+1/2,z'
'x+1/2,-y+1/2,z'
loop_
_atom_site_label
_atom_site_type_symbol
_atom_site_fract_x
_atom_site_fract_y
_atom_site_fract_z
_atom_site_occupancy
Ca1 Ca 0.000 0.000 0.000 1
Re1 Re 0.230 0.000 0.647 1
Re2 Re 0.494 0.000 0.517 1
Pt1 Pt 0.258 0.500 0.254 1



6.
# TaTiAl4, relaxed, DFT PBE
# Calculated volume ... 16.38 Å³/atom
# Energy relative to the elements ... -0.160 eV per atom
# E ... -5.95 eV per atom
data_TaTiAl4
_chemical_formula_sum 'Ta2 Ti2 Al8'
_symmetry_space_group_name_H-M 'C m m m'
_symmetry_Int_Tables_number 65
_symmetry_space_group_name_Hall '-C 2 2'
_cell_length_a 4.068
_cell_length_b 4.413
_cell_length_c 10.945
_cell_angle_alpha 90.00
_cell_angle_beta 90.00
_cell_angle_gamma 90.00
loop_
_atom_site_label
_atom_site_type_symbol
_atom_site_fract_x
_atom_site_fract_y
_atom_site_fract_z
_atom_site_occupancy
Ta1 Ta 0.000 0.000 0.000 1
Ti1 Ti 0.000 0.500 0.500 1
Al1 Al 0.000 0.000 0.337 1
Al2 Al 0.000 0.500 0.172 1



7.
# Ag3Rh2, relaxed, DFT PBE
# Calculated volume ... 16.32 Å³/atom
# Energy relative to the elements ... 0.121 eV per atom
# E ... -4.53 eV per atom
data_Ag3Rh2
_chemical_formula_sum 'Ag6 Rh4'
_symmetry_space_group_name_H-M 'I 4/m m m'
_symmetry_Int_Tables_number 139
_symmetry_space_group_name_Hall '-I 4 2'
_cell_length_a 2.815
_cell_length_b 2.815
_cell_length_c 20.600
_cell_angle_alpha 90.00
_cell_angle_beta 90.00
_cell_angle_gamma 90.00
loop_
_atom_site_label
_atom_site_type_symbol
_atom_site_fract_x
_atom_site_fract_y
_atom_site_fract_z
_atom_site_occupancy
Ag1 Ag 0.000 0.000 0.000 1
Ag2 Ag 0.000 0.000 0.394 1
Rh1 Rh 0.000 0.000 0.208 1



8.
# V2TcBi2, relaxed, DFT PBE
# Calculated volume ... 19.61 Å³/atom
# Energy relative to the elements ... 0.766 eV per atom
# E ... -6.51 eV per atom
data_V2TcBi2
_chemical_formula_sum 'V4 Tc2 Bi4'
_symmetry_space_group_name_H-M 'P 4/m b m'
_symmetry_Int_Tables_number 127
_symmetry_space_group_name_Hall '-P 4 2ab'
_cell_length_a 7.544
_cell_length_b 7.544
_cell_length_c 3.446
_cell_angle_alpha 90.00
_cell_angle_beta 90.00
_cell_angle_gamma 90.00
loop_
_atom_site_label
_atom_site_type_symbol
_atom_site_fract_x
_atom_site_fract_y
_atom_site_fract_z
_atom_site_occupancy
V1 V 0.112 0.388 0.000 1
Tc1 Tc 0.000 0.000 0.500 1
Bi1 Bi 0.176 0.676 0.500 1



9.
# LiZnSb2I, relaxed, DFT PBE
# Calculated volume ... 34.40 Å³/atom
# ΔE_f (raw) ... 220 meV/atom
# E ... -2.38 eV per atom
data_LiZnSb2I
_chemical_formula_sum 'Li1 Zn1 Sb2 I1'
_symmetry_space_group_name_H-M 'P 4/m m m'
_symmetry_Int_Tables_number 123
_symmetry_space_group_name_Hall '-P 4 2'
_cell_length_a 5.154
_cell_length_b 5.154
_cell_length_c 6.475
_cell_angle_alpha 90.00
_cell_angle_beta 90.00
_cell_angle_gamma 90.00
loop_
_atom_site_label
_atom_site_type_symbol
_atom_site_fract_x
_atom_site_fract_y
_atom_site_fract_z
_atom_site_occupancy
Li1 Li 0.000 0.000 0.000 1
Zn1 Zn 0.500 0.500 0.500 1
Sb1 Sb 0.000 0.500 0.500 1
I1 I 0.500 0.500 0.000 1



10.
# Tb5Nd4Er, relaxed, DFT PBE
# Calculated volume ... 34.65 Å³/atom
# Energy relative to the elements ... 0.223 eV per atom
# E ... -4.46 eV per atom
data_Tb5Nd4Er
_chemical_formula_sum 'Tb10 Nd8 Er2'
_symmetry_space_group_name_H-M 'C 1 2/m 1'
_symmetry_Int_Tables_number 12
_cell_length_a 18.134
_cell_length_b 3.595
_cell_length_c 10.889
_cell_angle_alpha 90.00
_cell_angle_beta 102.54
_cell_angle_gamma 90.00
loop_
_symmetry_equiv_pos_as_xyz
'x,y,z'
'-x,-y,-z'
'-x,y,-z'
'x,-y,z'
'x+1/2,y+1/2,z'
'-x+1/2,-y+1/2,-z'
'-x+1/2,y+1/2,-z'
'x+1/2,-y+1/2,z'
loop_
_atom_site_label
_atom_site_type_symbol
_atom_site_fract_x
_atom_site_fract_y
_atom_site_fract_z
_atom_site_occupancy
Tb1 Tb 0.000 0.000 0.000 1
Tb2 Tb 0.162 0.500 0.416 1
Tb3 Tb 0.168 0.500 0.025 1
Nd1 Nd 0.022 0.500 0.761 1
Nd2 Nd 0.177 0.000 0.724 1
Er1 Er 0.000 0.000 0.500 1



11.
# MnTlCdBr5, relaxed, DFT PBE
# Calculated volume ... 34.23 Å³/atom
# ΔE_f (raw) ... -810 meV/atom
# E ... -3.41 eV per atom
data_MnTlCdBr5
_chemical_formula_sum 'Mn4 Tl4 Cd4 Br20'
_symmetry_space_group_name_H-M 'C 1 2/c 1'
_symmetry_Int_Tables_number 15
_cell_length_a 9.379
_cell_length_b 12.637
_cell_length_c 10.010
_cell_angle_alpha 90.00
_cell_angle_beta 112.61
_cell_angle_gamma 90.00
loop_
_symmetry_equiv_pos_as_xyz
'x,y,z'
'-x,-y,-z'
'-x,y,-z+1/2'
'x,-y,z+1/2'
'x+1/2,y+1/2,z'
'-x+1/2,-y+1/2,-z'
'-x+1/2,y+1/2,-z+1/2'
'x+1/2,-y+1/2,z+1/2'
loop_
_atom_site_label
_atom_site_type_symbol
_atom_site_fract_x
_atom_site_fract_y
_atom_site_fract_z
_atom_site_occupancy
Mn1 Mn 0.000 0.183 0.250 1
Tl1 Tl 0.000 0.154 0.750 1
Cd1 Cd 0.000 0.500 0.000 1
Br1 Br 0.000 0.417 0.750 1
Br2 Br 0.117 0.294 0.111 1
Br3 Br 0.183 0.065 0.441 1



12.
# Ag2RuRh, relaxed, DFT PBE
# Calculated volume ... 16.08 Å³/atom
# Energy relative to the elements ... 0.286 eV per atom
# E ... -5.30 eV per atom
data_Ag2RuRh
_chemical_formula_sum 'Ag2 Ru1 Rh1'
_symmetry_space_group_name_H-M 'P m m 2'
_symmetry_Int_Tables_number 25
_cell_length_a 2.797
_cell_length_b 3.789
_cell_length_c 6.070
_cell_angle_alpha 90.00
_cell_angle_beta 90.00
_cell_angle_gamma 90.00
loop_
_symmetry_equiv_pos_as_xyz
'x,y,z'
'-x,-y,z'
'-x,y,z'
'x,-y,z'
loop_
_atom_site_label
_atom_site_type_symbol
_atom_site_fract_x
_atom_site_fract_y
_atom_site_fract_z
_atom_site_occupancy
Ag1 Ag 0.000 0.000 0.000 1
Ag2 Ag 0.500 0.500 0.255 1
Ru1 Ru 0.500 0.500 0.718 1
Rh1 Rh 0.000 0.000 0.538 1